Entry 1:
Here is crystalline PIrBr2 at its relaxed geometry from Alexandria via LeMat-Bulk. Energies are from GGA-PBE.

a b c (Å): 4.556 13.963 3.810
angles (deg): 90.00 90.00 90.00
Space group Cmmm (No. 65)
Asymmetric unit:
P: 0.000 0.000 0.000
Ir: 0.000 0.500 0.000
Br: 0.000 0.376 0.500

Properties
Electronic total energy, eV per atom: -4.201
ΔE_f (raw), eV per atom: 0.203
Total moment, μB per formula unit: 0.00
Offset from the most stable computed form, meV/atom: 638


Entry 2:
Here is crystalline ScVRh2 at its relaxed geometry from Alexandria via LeMat-Bulk. Energies are from GGA-PBE.

a b c (Å): 2.967 2.967 7.002
angles (deg): 90.00 90.00 90.00
Space group P4/mmm (No. 123)
Asymmetric unit:
Sc: 0.000 0.000 0.000
V: 0.000 0.000 0.500
Rh: 0.500 0.500 0.276

Properties
Energy relative to the elements, eV/atom: -0.586
Electronic total energy, eV per atom: -8.124
Total moment, μB per formula unit: 0.91


Entry 3:
Here is crystalline KCeC2O6 at its relaxed geometry from Alexandria via LeMat-Bulk. Energies are from GGA-PBE.

a b c (Å): 8.696 10.037 7.207
angles (deg): 90.00 110.80 90.00
Space group C2/c (No. 15)
Asymmetric unit:
K: 0.000 0.126 0.250
Ce: 0.000 0.400 0.750
C: 0.234 0.379 0.260
O: 0.091 0.384 0.112
O: 0.175 0.226 0.715
O: 0.225 0.020 0.621

Properties
Electronic total energy, eV per atom: -7.619
ΔE_f (raw), eV per atom: -2.096
Total moment, μB per formula unit: 1.00


Entry 4:
Here is crystalline TbDy4Tm7 at its relaxed geometry from Alexandria via LeMat-Bulk. Energies are from GGA-PBE.

a b c (Å): 11.957 5.775 12.537
angles (deg): 90.00 118.31 90.00
Space group C2/m (No. 12)
Asymmetric unit:
Tb: 0.000 0.000 0.000
Dy: 0.136 0.500 0.775
Dy: 0.241 0.000 0.679
Tm: 0.000 0.500 0.000
Tm: 0.063 0.000 0.321
Tm: 0.134 0.500 0.500
Tm: 0.212 0.000 0.924

Properties
Energy relative to the elements, eV/atom: 0.295
Electronic total energy, eV per atom: -4.233
Total moment, μB per formula unit: 0.01
Offset from the most stable computed form, meV/atom: 205


Entry 5:
Here is crystalline FeCuH at its relaxed geometry from Alexandria via LeMat-Bulk. Energies are from GGA-PBE.

a b c (Å): 2.5993 2.5993 13.3126
angles (deg): 90.00 90.00 120.00
Space group R3m (No. 160, hexagonal axes)
Asymmetric unit:
Fe: 0.0000 0.0000 0.0000
Cu: 0.0000 0.0000 0.5088
H: 0.0000 0.0000 0.7342

Properties
Electronic total energy, eV per atom: -5.201
Total moment, μB per formula unit: 2.21
Offset from the most stable computed form, meV/atom: 12


Entry 6:
Here is crystalline SrSb2Au at its relaxed geometry from Alexandria via LeMat-Bulk. Energies are from GGA-PBE.

a b c (Å): 11.218 4.344 5.334
angles (deg): 90.00 108.08 90.00
Space group Cm (No. 8)
Asymmetric unit:
Sr: 0.000 0.000 0.000
Sb: 0.212 0.000 0.627
Sb: 0.471 0.000 0.472
Au: 0.300 0.500 0.416

Properties
Electronic total energy, eV per atom: -3.762
ΔE_f (raw), eV per atom: -0.461
Total moment, μB per formula unit: 0.00


Entry 7:
Here is crystalline Zr2MoOs at its relaxed geometry from Alexandria via LeMat-Bulk. Energies are from GGA-PBE.

a b c (Å): 3.301 3.301 6.699
angles (deg): 90.00 90.00 90.00
Space group P4/mmm (No. 123)
Asymmetric unit:
Zr: 0.000 0.000 0.245
Mo: 0.500 0.500 0.500
Os: 0.500 0.500 0.000

Properties
Energy relative to the elements, eV/atom: -0.232
Electronic total energy, eV per atom: -10.021
Total moment, μB per formula unit: 0.00


Entry 8:
Here is crystalline BePb3N at its relaxed geometry from Alexandria via LeMat-Bulk. Energies are from GGA-PBE.

a b c (Å): 4.971 4.971 4.971
angles (deg): 90.00 90.00 90.00
Space group Pm-3m (No. 221)
Asymmetric unit:
Be: 0.000 0.000 0.000
Pb: 0.000 0.500 0.500
N: 0.500 0.500 0.500

Properties
Electronic total energy, eV per atom: -3.687
ΔE_f (raw), eV per atom: 0.949
Total moment, μB per formula unit: 0.00
Offset from the most stable computed form, meV/atom: 0


Entry 9:
Here is crystalline CaZr2Co2 at its relaxed geometry from Alexandria via LeMat-Bulk. Energies are from GGA-PBE.

a b c (Å): 7.685 7.685 3.217
angles (deg): 90.00 90.00 90.00
Space group P4/mbm (No. 127)
Asymmetric unit:
Ca: 0.000 0.000 0.000
Zr: 0.148 0.352 0.500
Co: 0.132 0.632 0.000

Properties
Energy relative to the elements, eV/atom: -0.044
Electronic total energy, eV per atom: -6.706
Total moment, μB per formula unit: 0.00
Offset from the most stable computed form, meV/atom: 46


Entry 10:
Here is crystalline ErTiTlZn at its relaxed geometry from Alexandria via LeMat-Bulk. Energies are from GGA-PBE.

a b c (Å): 6.956 6.956 6.956
angles (deg): 90.00 90.00 90.00
Space group F-43m (No. 216)
Asymmetric unit:
Er: 0.000 0.000 0.000
Ti: 0.000 0.000 0.500
Tl: 0.250 0.250 0.250
Zn: 0.250 0.250 0.750

Properties
Energy relative to the elements, eV/atom: -0.065
Electronic total energy, eV per atom: -4.089
Total moment, μB per formula unit: 0.00


Entry 11:
Here is crystalline Pm3Al2Hg4 at its relaxed geometry from Alexandria via LeMat-Bulk. Energies are from GGA-PBE.

a b c (Å): 11.213 4.814 9.099
angles (deg): 90.00 115.51 90.00
Space group C2/m (No. 12)
Asymmetric unit:
Pm: 0.000 0.000 0.000
Pm: 0.162 0.500 0.674
Al: 0.114 0.500 0.283
Hg: 0.085 0.000 0.410
Hg: 0.197 0.500 0.041

Properties
Energy relative to the elements, eV/atom: -0.452
Electronic total energy, eV per atom: -3.002
Total moment, μB per formula unit: 0.00


Entry 12:
Here is crystalline AuNF2 at its relaxed geometry from Alexandria via LeMat-Bulk. Energies are from GGA-PBE.

a b c (Å): 2.7588 2.7588 24.1271
angles (deg): 90.00 90.00 120.00
Space group R-3m (No. 166, hexagonal axes)
Asymmetric unit:
Au: 0.0000 0.0000 0.0000
N: 0.0000 0.0000 0.5000
F: 0.0000 0.0000 0.4332

Properties
Electronic total energy, eV per atom: -3.066
ΔE_f (raw), eV per atom: 0.771
Total moment, μB per formula unit: 0.00
Offset from the most stable computed form, meV/atom: 0